Material: Sr2Sb2PdAu
Method: DFT, PBE
State: optimized geometry

Summary:
calculated total energy	-4.250	eV/atom
symmetry	P-6m2, No. 187

Cell lengths 4.639, 4.639, 9.069 Å; angles 90.00, 90.00, 120.00 degrees
Fractional positions:
Sr: 0.667 0.333 0.259
Sr: 0.667 0.333 0.741
Sb: 0.000 0.000 0.500
Sb: 0.333 0.667 0.000
Pd: 0.333 0.667 0.500
Au: 0.000 0.000 0.000

Material: HoTlSeO
Method: DFT, PBE
State: optimized geometry

Summary:
distance to the lowest polymorph of the same formula	0.000	eV/atom
symmetry	P2_1, No. 4

Cell lengths 5.583, 5.544, 12.437 Å; angles 90.00, 104.58, 90.00 degrees
Fractional positions:
Ho: 0.953 0.309 0.911
Ho: 0.546 0.309 0.089
Ho: 0.047 0.809 0.089
Ho: 0.454 0.809 0.911
O: 0.250 0.053 0.000
O: 0.750 0.553 0.000
O: 0.250 0.555 0.000
O: 0.750 0.055 0.000
Se: 0.193 0.163 0.737
Se: 0.308 0.161 0.263
Se: 0.807 0.663 0.263
Se: 0.692 0.661 0.737
Tl: 0.590 0.174 0.609
Tl: 0.087 0.677 0.609
Tl: 0.913 0.177 0.391
Tl: 0.410 0.674 0.391

Material: HoEr2Tc
Method: DFT, PBE
State: optimized geometry

Summary:
symmetry	Cmcm, No. 63
energy relative to the elements	-0.518	eV/f.u.

Cell lengths 6.218, 6.218, 9.071 Å; angles 90.00, 90.00, 143.84 degrees
Fractional positions:
Er: 0.144 0.856 0.435
Er: 0.856 0.144 0.935
Er: 0.144 0.856 0.065
Er: 0.856 0.144 0.565
Ho: 0.571 0.429 0.750
Ho: 0.429 0.571 0.250
Tc: 0.761 0.239 0.250
Tc: 0.239 0.761 0.750

Material: Rb2TcO3
Method: DFT, PBE
State: optimized geometry

Summary:
distance to the lowest polymorph of the same formula	0.086	eV/atom
symmetry	Cmc2_1, No. 36

Cell lengths 6.294, 6.294, 5.861 Å; angles 90.00, 90.00, 69.57 degrees
Each line ends with the local moment (μB).
Fractional positions:
Rb: 0.480 0.185 0.761  0.00
Rb: 0.520 0.815 0.261  0.00
Rb: 0.185 0.480 0.261  0.00
Rb: 0.815 0.520 0.761  0.00
Tc: 0.913 0.087 0.239  0.69
Tc: 0.087 0.913 0.739  0.69
O: 0.857 0.905 0.499  0.03
O: 0.143 0.095 0.999  0.03
O: 0.905 0.857 0.999  0.04
O: 0.340 0.660 0.680  0.11
O: 0.095 0.143 0.499  0.04
O: 0.660 0.340 0.180  0.11

Material: NaHoZnSe3
Method: DFT, PBE
State: optimized geometry

Summary:
distance to the lowest polymorph of the same formula	0.000	eV/atom
symmetry	Pnma, No. 62

Cell lengths 10.909, 4.045, 13.704 Å; angles 90.00, 90.00, 90.00 degrees
Fractional positions:
Na: 0.218 0.750 0.494
Na: 0.718 0.750 0.006
Na: 0.282 0.250 0.994
Na: 0.782 0.250 0.506
Se: 0.911 0.250 0.108
Se: 0.952 0.750 0.620
Se: 0.048 0.250 0.380
Se: 0.452 0.750 0.880
Se: 0.589 0.750 0.608
Se: 0.737 0.750 0.330
Se: 0.237 0.750 0.170
Se: 0.089 0.750 0.892
Se: 0.548 0.250 0.120
Se: 0.763 0.250 0.830
Se: 0.411 0.250 0.392
Se: 0.263 0.250 0.670
Zn: 0.765 0.750 0.718
Zn: 0.235 0.250 0.282
Zn: 0.735 0.250 0.218
Zn: 0.265 0.750 0.782
Ho: 0.516 0.250 0.742
Ho: 0.484 0.750 0.258
Ho: 0.016 0.250 0.758
Ho: 0.984 0.750 0.242

Material: NdYAs
Method: DFT, PBE
State: optimized geometry

Summary:
calculated total energy	-6.099	eV/atom
symmetry	F-43m, No. 216

Cell lengths 4.914, 4.914, 4.914 Å; angles 60.00, 60.00, 60.00 degrees
Fractional positions:
Y: 0.750 0.750 0.750
As: 0.000 0.000 0.000
Nd: 0.250 0.250 0.250

Copy entry 4 word for word.
Material: Rb2TcO3
Method: DFT, PBE
State: optimized geometry

Summary:
distance to the lowest polymorph of the same formula	0.086	eV/atom
symmetry	Cmc2_1, No. 36

Cell lengths 6.294, 6.294, 5.861 Å; angles 90.00, 90.00, 69.57 degrees
Each line ends with the local moment (μB).
Fractional positions:
Rb: 0.480 0.185 0.761  0.00
Rb: 0.520 0.815 0.261  0.00
Rb: 0.185 0.480 0.261  0.00
Rb: 0.815 0.520 0.761  0.00
Tc: 0.913 0.087 0.239  0.69
Tc: 0.087 0.913 0.739  0.69
O: 0.857 0.905 0.499  0.03
O: 0.143 0.095 0.999  0.03
O: 0.905 0.857 0.999  0.04
O: 0.340 0.660 0.680  0.11
O: 0.095 0.143 0.499  0.04
O: 0.660 0.340 0.180  0.11

What did the fourth record say?
Material: Rb2TcO3
Method: DFT, PBE
State: optimized geometry

Summary:
distance to the lowest polymorph of the same formula	0.086	eV/atom
symmetry	Cmc2_1, No. 36

Cell lengths 6.294, 6.294, 5.861 Å; angles 90.00, 90.00, 69.57 degrees
Each line ends with the local moment (μB).
Fractional positions:
Rb: 0.480 0.185 0.761  0.00
Rb: 0.520 0.815 0.261  0.00
Rb: 0.185 0.480 0.261  0.00
Rb: 0.815 0.520 0.761  0.00
Tc: 0.913 0.087 0.239  0.69
Tc: 0.087 0.913 0.739  0.69
O: 0.857 0.905 0.499  0.03
O: 0.143 0.095 0.999  0.03
O: 0.905 0.857 0.999  0.04
O: 0.340 0.660 0.680  0.11
O: 0.095 0.143 0.499  0.04
O: 0.660 0.340 0.180  0.11